{
  "formula": "DyAgPO",
  "functional": "PBE-GGA",
  "state": "relaxed",
  "crystal_system": "orthorhombic",
  "de_polymorph_ev_per_atom": 0.3254,
  "spacegroup": "Pmc2_1",
  "volume_a3_per_atom": 17.98,
  "lattice": [[4.139, 0.000, 0.000], [0.000, 6.263, 0.000], [0.000, 0.000, 5.550]],
  "species": ["Dy", "Dy", "Ag", "Ag", "P", "P", "O", "O"],
  "frac_coords": [[0.000, 0.243, 0.000], [0.000, 0.757, 0.500], [0.500, 0.344, 0.470], [0.500, 0.656, 0.970], [0.500, 0.016, 0.738], [0.500, 0.984, 0.238], [0.000, 0.465, 0.300], [0.000, 0.535, 0.800]]
}